First-principles (meta-GGA SCAN) data for a PBEsol-optimized structure of KCo2Ni, as listed in the Alexandria database.

```
data_KCo2Ni
_cell_length_a 2.5955
_cell_length_b 2.5955
_cell_length_c 28.1686
_cell_angle_alpha 90.00
_cell_angle_beta 90.00
_cell_angle_gamma 120.00
_symmetry_space_group_name_H-M 'R -3 m'
_symmetry_Int_Tables_number 166
_symmetry_space_group_name_Hall '-R 3 2"'
loop_
_atom_site_label
_atom_site_type_symbol
_atom_site_fract_x
_atom_site_fract_y
_atom_site_fract_z
K1 K 0.0000 0.0000 0.0000
Co1 Co 0.0000 0.0000 0.2348
Ni1 Ni 0.0000 0.0000 0.5000
```

Summary:
The energy above the most stable polymorph in this dataset is 0.1717 eV per atom.



First-principles (meta-GGA SCAN) data for a PBEsol-optimized structure of AlAgP3, as listed in the Alexandria database.

```
data_AlAgP3
_cell_length_a 4.578
_cell_length_b 4.578
_cell_length_c 4.578
_cell_angle_alpha 90.00
_cell_angle_beta 90.00
_cell_angle_gamma 90.00
_symmetry_space_group_name_H-M 'P m -3 m'
_symmetry_Int_Tables_number 221
_symmetry_space_group_name_Hall '-P 4 2 3'
loop_
_atom_site_label
_atom_site_type_symbol
_atom_site_fract_x
_atom_site_fract_y
_atom_site_fract_z
Al1 Al 0.000 0.000 0.000
Ag1 Ag 0.500 0.500 0.500
P1 P 0.000 0.000 0.500
```



no.,ΔE_f (meV per atom),raw total energy (eV/atom)
1,836,-13.941
2,818,-13.245